1.
Ta2FeGe (PBE, optimized geometry); symmetry = F-43m, No. 216
1.0
-4.085 0.268 1.707
-2.173 3.866 -0.046
-3.491 0.550 -2.680
Ta Fe Ge
2 1 1
Cartesian
0.000 0.000 0.000
-7.313 3.513 -0.765
-2.438 1.171 -0.255
-4.875 2.342 -0.510

=====

2.
TaFe2Ge (PBE, optimized geometry); symmetry = P6_3/mmc, No. 194
1.0
2.101 -3.639 0.000
2.101 3.639 0.000
0.000 0.000 7.152
Ta Fe Ge
2 4 2
Cartesian
0.000 0.000 0.000
0.000 0.000 3.576
2.101 -1.213 2.905
2.101 -1.213 0.671
2.101 1.213 6.481
2.101 1.213 4.247
2.101 -1.213 5.364
2.101 1.213 1.788

=====

3.
TaFeGe (PBE, optimized geometry); symmetry = P-62m, No. 189
1.0
-6.507 0.860 -0.971
2.145 -3.416 5.268
0.107 2.842 1.799
Ge Fe Ta
3 3 3
Cartesian
-3.209 -1.880 3.161
0.567 -0.903 1.393
-1.720 0.227 -0.257
0.054 1.421 0.899
-0.739 -1.991 3.188
-3.623 -0.565 1.109
-3.888 1.942 0.311
1.353 -0.648 4.090
-1.666 0.413 2.594

=====

4.
TaFeGe (PBE, optimized geometry); symmetry = Pnma, No. 62
1.0
-1.649 -5.912 1.205
3.658 -0.853 0.820
-1.124 1.697 6.785
Ge Ta Fe
4 4 4
Cartesian
1.301 -0.738 6.953
0.782 -4.155 5.709
-0.416 -4.331 1.857
0.102 -0.914 3.100
1.550 -3.167 3.311
-0.665 -1.902 5.499
2.500 -0.400 1.950
-1.616 -4.669 6.860
0.258 -2.197 1.069
-0.984 -4.524 4.189
1.868 -0.545 4.620
0.626 -2.872 7.741

=====

5.
TaFeGe (PBE, optimized geometry); symmetry = Pnma, No. 62
1.0
-2.262 5.417 -1.642
-2.247 0.004 3.109
5.351 3.406 3.863
Ge Ta Fe
4 4 4
Cartesian
2.672 6.739 3.106
-1.432 5.769 2.507
2.275 3.058 2.823
-1.830 2.088 2.224
-1.872 5.921 -0.177
2.714 2.906 5.507
0.098 3.746 1.249
0.744 5.080 4.081
3.732 4.671 3.874
0.080 2.618 3.604
-2.890 4.156 1.456
0.762 6.209 1.726

=====

6.
TaFe2Ge (PBE, optimized geometry); symmetry = P6_3/mmc, No. 194
1.0
-0.386 4.347 -0.531
-2.669 -2.121 2.776
4.860 1.106 5.517
Ge Fe Ta
2 4 2
Cartesian
1.215 0.276 1.379
3.645 0.829 4.138
-1.474 0.134 2.167
3.279 3.198 5.595
0.088 0.489 3.939
1.718 2.843 3.823
0.068 2.468 1.950
1.737 0.865 5.811

=====

Number 1: VASP energy -8.95 eV/atom. Number 2: VASP energy -8.27 eV/atom. Number 3: VASP energy -8.50 eV/atom. Number 4: VASP energy -8.58 eV/atom. Number 5: VASP energy -8.51 eV/atom. Number 6: VASP energy -7.97 eV/atom.